FeAsO3 | PBE+U | optimized geometry

a b c (Å): 3.8056 3.8056 3.8056
angles (deg): 90.00 90.00 90.00
Sites, in units of the cell vectors:
As 0.5000 0.5000 0.5000
Fe 0.0000 0.0000 0.0000
O 0.0000 0.5000 0.0000
O 0.0000 0.0000 0.5000
O 0.5000 0.0000 0.0000

Total magnetization (μB per cell): 4.8
Calculated density (g cm⁻³): 5.39
DFT total energy (eV/cell): -27.586
Symmetry: Pm-3m, No. 221